# CsCa2Au2, optimized geometry, DFT GGA-PBE
data_CsCa2Au2
_chemical_formula_sum 'Cs2 Ca4 Au4'
_space_group_name_H-M_alt 'I 4/m m m'
_space_group_IT_number 139
_space_group_name_Hall '-I 4 2'
_cell_length_a 5.588
_cell_length_b 5.588
_cell_length_c 12.446
_cell_angle_alpha 90.00
_cell_angle_beta 90.00
_cell_angle_gamma 90.00
loop_
_atom_site_label
_atom_site_type_symbol
_atom_site_fract_x
_atom_site_fract_y
_atom_site_fract_z
Cs1 Cs 0.000 0.000 0.000
Ca1 Ca 0.000 0.000 0.333
Au1 Au 0.000 0.500 0.250
# ρ = 5.19 g cm⁻³
# Total DFT energy (no corrections) = -26.599 eV per cell
# Energy of formation from the pure elements = -0.38 eV per atom